Record 1
Entry from Alexandria via LeMat-Bulk: crystalline NaZnFeBi2 at its relaxed geometry (PBE).

Summary:
* crystal system: tetragonal
* formation enthalpy at 0 K: 0.541 eV/atom

Cell and atoms, written as CIF:
```
data_NaZnFeBi2
_space_group_name_H-M_alt 'P 4/m m m'
_space_group_IT_number 123
_space_group_name_Hall '-P 4 2'
_cell_length_a 5.4618
_cell_length_b 5.4618
_cell_length_c 4.7549
_cell_angle_alpha 90.00
_cell_angle_beta 90.00
_cell_angle_gamma 90.00
loop_
_atom_site_label
_atom_site_type_symbol
_atom_site_fract_x
_atom_site_fract_y
_atom_site_fract_z
_atom_site_occupancy
Na1 Na 0.0000 0.0000 0.0000 1
Zn1 Zn 0.5000 0.5000 0.5000 1
Fe1 Fe 0.5000 0.5000 0.0000 1
Bi1 Bi 0.0000 0.5000 0.5000 1
```



Record 2
Entry from Alexandria via LeMat-Bulk: crystalline Tl5HgS4 at its relaxed geometry (PBE).

Summary:
* raw formation energy: -0.202 eV/atom
* crystal system: monoclinic

Cell and atoms, written as CIF:
```
data_Tl5HgS4
_space_group_name_H-M_alt 'C 1 2/m 1'
_space_group_IT_number 12
_space_group_name_Hall '-C 2y'
_cell_length_a 19.4264
_cell_length_b 4.0119
_cell_length_c 7.8316
_cell_angle_alpha 90.00
_cell_angle_beta 109.03
_cell_angle_gamma 90.00
loop_
_atom_site_label
_atom_site_type_symbol
_atom_site_fract_x
_atom_site_fract_y
_atom_site_fract_z
_atom_site_occupancy
Tl1 Tl 0.0000 0.0000 0.0000 1
Tl2 Tl 0.1648 0.5000 0.3097 1
Tl3 Tl 0.1782 0.5000 0.8398 1
Hg1 Hg 0.0000 0.0000 0.5000 1
S1 S 0.0202 0.5000 0.7387 1
S2 S 0.1709 0.0000 0.5731 1
```



Record 3
Entry from Alexandria via LeMat-Bulk: crystalline CaLuTlGe at its relaxed geometry (PBE).

Summary:
* crystal system: cubic
* formation enthalpy at 0 K: -0.377 eV/atom

Cell and atoms, written as CIF:
```
data_CaLuTlGe
_space_group_name_H-M_alt 'F -4 3 m'
_space_group_IT_number 216
_space_group_name_Hall 'F -4 2 3'
_cell_length_a 7.3942
_cell_length_b 7.3942
_cell_length_c 7.3942
_cell_angle_alpha 90.00
_cell_angle_beta 90.00
_cell_angle_gamma 90.00
loop_
_atom_site_label
_atom_site_type_symbol
_atom_site_fract_x
_atom_site_fract_y
_atom_site_fract_z
_atom_site_occupancy
Ca1 Ca 0.0000 0.0000 0.0000 1
Lu1 Lu 0.0000 0.0000 0.5000 1
Tl1 Tl 0.2500 0.2500 0.2500 1
Ge1 Ge 0.2500 0.2500 0.7500 1
```